(1)
Entry from Alexandria via LeMat-Bulk: a relaxed TlCoCl crystal (GGA-PBE).

Output
uncorrected energy = -3.336 eV/atom
formation energy without anion corrections = 1.3 eV per formula unit
energy above the lowest structure with this stoichiometry = 361 meV per atom
space group = No. 216

Cell: 4.538 4.538 4.538 Å, 60.00 60.00 60.00°
Positions (direct):
Tl 0.000 0.000 0.000
Co 0.250 0.250 0.250
Cl 0.500 0.500 0.500

=====

(2)
Entry from Alexandria via LeMat-Bulk: a relaxed Ce2PrDyS4 crystal (GGA-PBE).

Output
uncorrected energy = -6.744 eV/atom
formation energy without anion corrections = -16.2 eV per formula unit
space group = No. 10

Cell: 6.969 4.006 6.969 Å, 90.00 109.32 90.00°
Positions (direct):
Ce 0.000 0.000 0.000
Ce 0.500 0.500 0.000
Pr 0.000 0.500 0.500
Dy 0.500 0.000 0.500
S 0.259 0.000 0.750
S 0.261 0.500 0.256
S 0.739 0.500 0.744
S 0.741 0.000 0.250

=====

Copy entry 2 word for word.
Entry from Alexandria via LeMat-Bulk: a relaxed Ce2PrDyS4 crystal (GGA-PBE).

Output
uncorrected energy = -6.744 eV/atom
formation energy without anion corrections = -16.2 eV per formula unit
space group = No. 10

Cell: 6.969 4.006 6.969 Å, 90.00 109.32 90.00°
Positions (direct):
Ce 0.000 0.000 0.000
Ce 0.500 0.500 0.000
Pr 0.000 0.500 0.500
Dy 0.500 0.000 0.500
S 0.259 0.000 0.750
S 0.261 0.500 0.256
S 0.739 0.500 0.744
S 0.741 0.000 0.250

=====

Copy entry 1 word for word.
Entry from Alexandria via LeMat-Bulk: a relaxed TlCoCl crystal (GGA-PBE).

Output
uncorrected energy = -3.336 eV/atom
formation energy without anion corrections = 1.3 eV per formula unit
energy above the lowest structure with this stoichiometry = 361 meV per atom
space group = No. 216

Cell: 4.538 4.538 4.538 Å, 60.00 60.00 60.00°
Positions (direct):
Tl 0.000 0.000 0.000
Co 0.250 0.250 0.250
Cl 0.500 0.500 0.500

=====

Question: What is the formation energy without anion corrections in the first record?
Answer: 1.3 eV per formula unit

=====

Question: uncorrected energy of number 2 (Ce2PrDyS4)?
Answer: -6.744 eV/atom